# 1
Crystalline K2LaBr at its relaxed geometry, computed with PBE.

a = 11.404 Å, b = 11.404 Å, c = 4.440 Å
α = 78.79°, β = 78.79°, γ = 20.54°
Atoms (fractional coordinates):
Br 0.250 0.250 0.250
K 0.917 0.917 0.083
K 0.583 0.583 0.417
La 0.750 0.750 0.750

Properties
The calculation puts the raw formation energy at -0.42 eV/atom. For the energy relative to the lowest polymorph listed for this composition, the calculation gives 0.134 eV per atom.


# 2
Crystalline Pr3Sm12Y at its relaxed geometry, computed with PBE.

a = 5.150 Å, b = 5.150 Å, c = 20.593 Å
α = 90.00°, β = 90.00°, γ = 90.00°
Atoms (fractional coordinates):
Pr 0.000 0.000 0.249
Pr 0.000 0.000 0.500
Pr 0.000 0.000 0.751
Sm 0.500 0.500 0.000
Sm 0.500 0.500 0.249
Sm 0.500 0.500 0.500
Sm 0.500 0.500 0.751
Sm 0.500 0.000 0.124
Sm 0.500 0.000 0.375
Sm 0.500 0.000 0.625
Sm 0.500 0.000 0.876
Sm 0.000 0.500 0.124
Sm 0.000 0.500 0.375
Sm 0.000 0.500 0.625
Sm 0.000 0.500 0.876
Y 0.000 0.000 0.000

Properties
The value obtained for the total DFT energy (no corrections) is -77.19 eV for the cell shown.


# 3
Crystalline SrOsW2 at its relaxed geometry, computed with PBE.

a = 10.510 Å, b = 10.510 Å, c = 10.510 Å
α = 15.66°, β = 15.66°, γ = 15.66°
Atoms (fractional coordinates):
Os 0.250 0.250 0.250
Sr 0.750 0.750 0.750
W 0.988 0.988 0.988
W 0.512 0.512 0.512

Properties
For the energy relative to the lowest polymorph listed for this composition, the calculation gives 0.249 eV per atom.


# 4
Crystalline MnGaCoSe2 at its relaxed geometry, computed with PBE.

a = 4.840 Å, b = 3.720 Å, c = 11.027 Å
α = 90.00°, β = 111.26°, γ = 90.00°
Last column: magnetic moment on the atom in μB.
Atoms (fractional coordinates):
Mn 0.854 0.000 0.257  3.72
Mn 0.854 0.500 0.757  3.72
Ga 0.451 0.000 0.380  0.01
Ga 0.451 0.500 0.880  0.01
Co 0.262 0.000 0.151  -0.63
Co 0.262 0.500 0.651  -0.63
Se 0.511 0.000 0.619  -0.06
Se 0.511 0.500 0.119  -0.06
Se 0.894 0.000 0.943  0.01
Se 0.894 0.500 0.443  0.01

Properties
The calculation puts the raw formation energy at -0.13 eV/atom. For the energy relative to the lowest polymorph listed for this composition, the calculation gives 0.071 eV per atom.


# 5
Crystalline Tb4NdAl4 at its relaxed geometry, computed with PBE.

a = 5.836 Å, b = 8.891 Å, c = 8.891 Å
α = 90.00°, β = 90.00°, γ = 90.00°
Atoms (fractional coordinates):
Tb 0.395 0.426 0.835
Tb 0.895 0.665 0.926
Tb 0.395 0.574 0.165
Tb 0.105 0.074 0.665
Tb 0.605 0.835 0.574
Tb 0.105 0.926 0.335
Tb 0.895 0.335 0.074
Tb 0.605 0.165 0.426
Nd 0.000 0.000 0.000
Nd 0.500 0.500 0.500
Al 0.586 0.906 0.195
Al 0.586 0.094 0.805
Al 0.086 0.695 0.594
Al 0.914 0.406 0.695
Al 0.914 0.594 0.305
Al 0.414 0.195 0.094
Al 0.414 0.805 0.906
Al 0.086 0.305 0.406

Properties
The value obtained for the total DFT energy (no corrections) is -79.14 eV for the cell shown.


# 6
Crystalline ZnCu2Sb at its relaxed geometry, computed with PBE.

a = 3.564 Å, b = 2.922 Å, c = 6.559 Å
α = 90.02°, β = 90.00°, γ = 90.00°
Atoms (fractional coordinates):
Cu 0.000 0.250 0.938
Cu 0.000 0.250 0.562
Sb 0.500 0.250 0.250
Zn 0.500 0.750 0.750

Properties
The calculation puts the raw formation energy at 0.10 eV/atom. For the energy relative to the lowest polymorph listed for this composition, the calculation gives 0.010 eV per atom.


# 7
Crystalline Ba2Pd2Br at its relaxed geometry, computed with PBE.

a = 4.663 Å, b = 4.663 Å, c = 9.195 Å
α = 90.01°, β = 104.68°, γ = 120.01°
Atoms (fractional coordinates):
Ba 0.847 0.423 0.271
Ba 0.153 0.577 0.729
Pd 0.335 0.168 0.503
Pd 0.665 0.832 0.497
Br 0.000 0.000 0.000

Properties
The calculation puts the raw formation energy at -1.07 eV/atom. For the energy relative to the lowest polymorph listed for this composition, the calculation gives 0.000 eV per atom.


# 8
Crystalline Sm2ZnOs at its relaxed geometry, computed with PBE.

a = 3.510 Å, b = 3.510 Å, c = 7.434 Å
α = 90.00°, β = 90.00°, γ = 90.00°
Atoms (fractional coordinates):
Zn 0.500 0.500 0.500
Os 0.500 0.500 0.000
Sm 0.000 0.000 0.771
Sm 0.000 0.000 0.229

Properties
The value obtained for the total DFT energy (no corrections) is -22.62 eV for the cell shown.


# 9
Crystalline KSiSb2 at its relaxed geometry, computed with PBE.

a = 9.245 Å, b = 9.245 Å, c = 9.245 Å
α = 24.18°, β = 24.18°, γ = 24.18°
Atoms (fractional coordinates):
K 0.750 0.750 0.750
Sb 0.977 0.977 0.977
Sb 0.523 0.523 0.523
Si 0.250 0.250 0.250

Properties
The calculation puts the raw formation energy at 0.01 eV/atom.


# 10
Crystalline BeCoNi2 at its relaxed geometry, computed with PBE.

a = 3.307 Å, b = 3.307 Å, c = 8.364 Å
α = 78.60°, β = 78.60°, γ = 90.00°
Last column: magnetic moment on the atom in μB.
Atoms (fractional coordinates):
Ni 0.616 0.125 0.250  0.42
Ni 0.134 0.625 0.250  0.41
Ni 0.375 0.384 0.750  0.42
Ni 0.875 0.866 0.750  0.41
Co 0.000 0.000 0.000  1.43
Co 0.750 0.250 0.500  1.43
Be 0.500 0.500 0.000  -0.05
Be 0.250 0.750 0.500  -0.05

Properties
The value obtained for the total DFT energy (no corrections) is -42.53 eV for the cell shown.


Question: Number 9 is which compound?
Answer: KSiSb2


Repeat the ninth record exactly.
Crystalline KSiSb2 at its relaxed geometry, computed with PBE.

a = 9.245 Å, b = 9.245 Å, c = 9.245 Å
α = 24.18°, β = 24.18°, γ = 24.18°
Atoms (fractional coordinates):
K 0.750 0.750 0.750
Sb 0.977 0.977 0.977
Sb 0.523 0.523 0.523
Si 0.250 0.250 0.250

Properties
The calculation puts the raw formation energy at 0.01 eV/atom.